Crystalline AgSbSeS at its relaxed geometry. Source: the Alexandria database, functional PBE.

POSCAR file:
```
AgSbSeS
1.0
4.000 0.000 0.000
0.000 4.000 0.000
0.000 0.000 5.629
Se Sb S Ag
1 1 1 1
direct
0.500 0.500 0.000
0.500 0.500 0.500
0.000 0.000 0.500
0.000 0.000 0.000
```

energy relative to the elements, uncorrected	-0.10	eV/atom
magnetic moment	0.00	Bohr magnetons per cell
D(E_F)	1.5	states/eV per cell
symmetry	P4/mmm, No. 123
volume	90.0	Å³/cell